Record 1
5
Lattice="5.132 0.000 0.000 0.000 5.132 0.000 0.000 0.000 5.062" Properties=species:S:1:pos:R:3 comment="BeSbTe2I (PBE, optimized geometry)" vol_a3_per_atom=26.66 m_tot_mub_per_atom=0.0000 polymorph_energy_kj_per_mol_atoms=0.0 n_ef_per_ev_cell=4.30 pbc="T T T"
Be 0.000 0.000 0.000
Sb 2.566 2.566 2.531
Te 0.000 2.566 0.000
Te 2.566 0.000 0.000
I 0.000 0.000 2.531

---

Record 2
4
Lattice="2.906 -4.348 0.000 2.906 4.348 0.000 0.000 0.000 2.982" Properties=species:S:1:pos:R:3 comment="Ta2AgSb (PBE, optimized geometry)" vol_a3_per_atom=18.84 m_tot_mub_per_atom=0.0000 e_tot_ev_per_atom=-7.33 n_ef_per_ev_cell=2.37 pbc="T T T"
Ta 1.453 2.174 0.000
Ta 1.453 -2.174 0.000
Ag 0.000 0.000 1.491
Sb 2.906 0.000 1.491

---

Record 3
5
Lattice="5.215 0.000 0.000 0.000 5.215 0.000 0.000 0.000 4.733" Properties=species:S:1:pos:R:3 comment="Hg2MoOsW (PBE, optimized geometry)" vol_a3_per_atom=25.75 m_tot_mub_per_atom=0.4912 ef_mev_per_atom=2060 n_ef_per_ev_cell=4.64 pbc="T T T"
Hg 0.000 2.608 0.000
Hg 2.608 0.000 0.000
Mo 0.000 0.000 2.366
Os 2.608 2.608 2.366
W 2.608 2.608 0.000

---

Record 4
10
Lattice="7.505 0.000 0.000 0.000 7.505 0.000 0.000 0.000 3.773" Properties=species:S:1:pos:R:3 comment="Hf2MgTa2 (PBE, optimized geometry)" vol_a3_per_atom=21.25 m_tot_mub_per_atom=0.0000 ef_mev_per_atom=276 n_ef_per_ev_cell=10.70 pbc="T T T"
Hf 1.254 2.499 0.000
Hf 2.499 6.252 0.000
Hf 5.006 1.254 0.000
Hf 6.252 5.006 0.000
Mg 0.000 0.000 1.886
Mg 3.753 3.753 1.886
Ta 0.952 4.704 1.886
Ta 2.801 0.952 1.886
Ta 4.704 6.554 1.886
Ta 6.554 2.801 1.886

---

Record 5
8
Lattice="-3.438 3.438 2.496 3.438 -3.438 2.496 3.438 3.438 -2.496" Properties=species:S:1:pos:R:3 comment="Cu2MoRh (PBE, optimized geometry)" vol_a3_per_atom=14.75 m_tot_mub_per_atom=0.0000 ef_mev_per_atom=658 n_ef_per_ev_cell=10.63 pbc="T T T"
Cu 1.719 1.697 -0.624
Cu 1.741 -1.719 3.119
Cu 1.719 1.741 1.872
Cu 1.697 5.157 0.624
Mo 3.438 0.000 1.248
Mo 0.000 0.000 2.496
Rh 0.000 0.000 0.000
Rh 0.000 3.438 1.248

---

Record 6
3
Lattice="3.948 0.000 0.000 -1.974 3.419 0.000 0.000 0.000 2.798" Properties=species:S:1:pos:R:3 comment="MgBeNi (PBE, optimized geometry)" vol_a3_per_atom=12.59 m_tot_mub_per_atom=0.0000 ef_mev_per_atom=-34 polymorph_energy_kj_per_mol_atoms=19.6 n_ef_per_ev_cell=1.66 pbc="T T T"
Mg 0.000 0.000 0.000
Be 0.000 2.280 1.399
Ni 1.974 1.140 1.399

---

Record 7
4
Lattice="0.000 3.189 3.189 3.189 0.000 3.189 3.189 3.189 0.000" Properties=species:S:1:pos:R:3 comment="LiNpOsRh (PBE, optimized geometry)" vol_a3_per_atom=16.22 m_tot_mub_per_atom=0.6895 ef_mev_per_atom=-32 n_ef_per_ev_cell=6.66 pbc="T T T"
Li 0.000 0.000 0.000
Np 3.189 3.189 3.189
Os 4.784 4.784 4.784
Rh 1.595 1.595 1.595

---

Record 8
5
Lattice="6.921 0.000 0.000 0.000 6.921 0.000 0.000 0.000 5.335" Properties=species:S:1:pos:R:3 comment="Cs2RbBiPt (PBE, optimized geometry)" vol_a3_per_atom=51.11 m_tot_mub_per_atom=0.0506 ef_mev_per_atom=-101 n_ef_per_ev_cell=3.87 pbc="T T T"
Cs 0.000 3.460 0.000
Cs 3.460 0.000 0.000
Rb 0.000 0.000 2.668
Bi 3.460 3.460 2.668
Pt 3.460 3.460 0.000

---

Record 9
3
Lattice="-1.761 1.761 6.144 1.761 -1.761 6.144 1.761 1.761 -6.144" Properties=species:S:1:pos:R:3 comment="GdYCu (PBE, optimized geometry)" vol_a3_per_atom=25.40 m_tot_mub_per_atom=2.6473 ef_mev_per_atom=-130 n_ef_per_ev_cell=3.59 pbc="T T T"
Gd 0.000 0.000 0.000
Y 0.000 0.000 3.425
Cu 0.000 0.000 7.916

---

Record 10
15
Lattice="-5.794 5.794 3.815 5.794 -5.794 3.815 5.794 5.794 -3.815" Properties=species:S:1:pos:R:3 comment="Pm10PrSc4 (PBE, optimized geometry)" vol_a3_per_atom=34.15 m_tot_mub_per_atom=0.0000 ef_mev_per_atom=538 n_ef_per_ev_cell=19.46 pbc="T T T"
Pm 7.118 -2.935 2.176
Pm 2.859 -1.324 1.639
Pm 5.794 0.000 1.907
Pm 8.729 1.324 1.639
Pm 1.324 2.859 1.639
Pm 4.471 2.935 2.176
Pm -2.935 4.471 2.176
Pm 0.000 5.794 1.907
Pm 2.935 7.118 2.176
Pm -1.324 8.729 1.639
Pr 0.000 0.000 0.000
Sc 6.602 3.453 0.000
Sc 3.453 4.987 0.000
Sc 2.341 0.808 3.815
Sc -0.808 2.341 3.815

---

Record 11
5
Lattice="5.215 0.000 0.000 0.000 5.215 0.000 0.000 0.000 5.332" Properties=species:S:1:pos:R:3 comment="NaTcOsPb2 (PBE, optimized geometry)" vol_a3_per_atom=29.00 m_tot_mub_per_atom=0.8504 ef_mev_per_atom=1407 n_ef_per_ev_cell=3.86 pbc="T T T"
Na 0.000 0.000 0.000
Tc 2.608 2.608 0.000
Os 0.000 0.000 2.666
Pb 0.000 2.608 2.666
Pb 2.608 0.000 2.666

---

Record 12
10
Lattice="3.552 0.000 0.000 -1.721 6.514 0.000 -0.304 -2.046 13.813" Properties=species:S:1:pos:R:3 comment="TbY4Ho5 (PBE, optimized geometry)" vol_a3_per_atom=31.96 m_tot_mub_per_atom=0.0008 ef_mev_per_atom=60 polymorph_energy_kj_per_mol_atoms=0.0 n_ef_per_ev_cell=18.83 pbc="T T T"
Tb 0.000 0.000 0.000
Y -0.942 2.992 11.136
Y -0.943 4.900 2.961
Y 2.470 -0.432 10.852
Y 2.469 1.475 2.677
Ho -0.998 4.520 8.058
Ho 0.771 1.491 8.475
Ho 0.916 3.257 0.000
Ho 0.756 2.977 5.337
Ho 2.526 -0.053 5.755

---

Record 13
12
Lattice="5.552 0.000 0.000 0.000 5.552 0.000 0.000 0.000 11.329" Properties=species:S:1:pos:R:3 comment="Pu2ScPb9 (PBE, optimized geometry)" vol_a3_per_atom=29.10 m_tot_mub_per_atom=0.9497 ef_mev_per_atom=-66 n_ef_per_ev_cell=25.34 pbc="T T T"
Pu 0.000 0.000 1.986
Pu 0.000 0.000 9.342
Sc 0.000 0.000 5.664
Pb 0.000 2.776 0.000
Pb 0.000 2.776 3.919
Pb 0.000 2.776 7.410
Pb 2.776 0.000 0.000
Pb 2.776 0.000 3.919
Pb 2.776 0.000 7.410
Pb 2.776 2.776 1.951
Pb 2.776 2.776 5.664
Pb 2.776 2.776 9.378

---

Record 14
4
Lattice="1.404 0.811 8.937 -1.404 0.811 8.937 0.000 -1.621 8.937" Properties=species:S:1:pos:R:3 comment="TiMnAl2 (PBE, optimized geometry)" vol_a3_per_atom=15.25 m_tot_mub_per_atom=0.6716 ef_mev_per_atom=-108 n_ef_per_ev_cell=4.15 pbc="T T T"
Ti 0.000 0.000 0.000
Mn 0.000 0.000 13.405
Al 0.000 0.000 6.550
Al 0.000 0.000 20.261

---

Record 15
12
Lattice="3.726 0.000 0.000 -1.584 4.242 0.000 -0.031 -1.549 4.966" Properties=species:S:1:pos:R:3 comment="B5C7 (PBE, optimized geometry)" vol_a3_per_atom=6.54 m_tot_mub_per_atom=0.0000 ef_mev_per_atom=438 polymorph_energy_kj_per_mol_atoms=17.4 n_ef_per_ev_cell=1.81 pbc="T T T"
B 0.000 0.000 0.000
B -0.041 -0.802 2.866
B -0.903 1.987 2.104
B -0.907 1.148 4.816
B 1.082 3.500 1.377
C 0.157 2.318 0.971
C 0.078 1.816 3.509
C 0.973 1.117 0.579
C 0.907 0.463 3.111
C 1.851 0.723 1.826
C 1.816 0.001 4.322
C 0.977 2.993 3.896

---

Record 16
8
Lattice="-1.932 2.754 11.377 1.932 -2.754 11.377 1.932 2.754 -11.377" Properties=species:S:1:pos:R:3 comment="Pm3Pr2Cd3 (PBE, optimized geometry)" vol_a3_per_atom=30.27 m_tot_mub_per_atom=0.0001 ef_mev_per_atom=-230 polymorph_energy_kj_per_mol_atoms=0.0 n_ef_per_ev_cell=10.69 pbc="T T T"
Pm 0.000 0.000 0.000
Pm 1.932 0.000 8.638
Pm 0.000 2.754 2.739
Pr 0.000 0.000 5.300
Pr 0.000 0.000 17.454
Cd 1.932 0.000 2.626
Cd 0.000 0.000 11.377
Cd 0.000 2.754 8.751

---

Record 17
12
Lattice="3.592 -6.223 0.000 3.592 6.223 0.000 -2.389 0.000 7.944" Properties=species:S:1:pos:R:3 comment="Pr6PdRu2Br3 (PBE, optimized geometry)" vol_a3_per_atom=29.59 m_tot_mub_per_atom=0.0000 e_tot_ev_per_atom=-5.68 n_ef_per_ev_cell=4.09 pbc="T T T"
Pr -0.046 2.164 6.365
Pr 1.091 0.000 1.575
Pr -0.046 -2.164 6.365
Pr 4.841 2.164 1.579
Pr 3.703 0.000 6.369
Pr 4.841 -2.164 1.579
Pd 3.592 0.000 0.000
Ru 3.592 4.150 0.000
Ru 3.592 -4.150 0.000
Br -1.194 0.000 3.972
Br 2.397 2.102 3.972
Br 2.397 -2.102 3.972

---

Record 18
7
Lattice="4.499 0.000 0.000 0.000 4.499 0.000 0.000 0.000 5.767" Properties=species:S:1:pos:R:3 comment="LiGa5Ir (PBE, optimized geometry)" vol_a3_per_atom=16.67 m_tot_mub_per_atom=0.0000 ef_mev_per_atom=-321 polymorph_energy_kj_per_mol_atoms=0.0 n_ef_per_ev_cell=2.43 pbc="T T T"
Li 0.000 0.000 0.000
Ga 0.000 2.249 1.561
Ga 0.000 2.249 4.206
Ga 2.249 0.000 1.561
Ga 2.249 0.000 4.206
Ga 2.249 2.249 0.000
Ir 0.000 0.000 2.883

---

Record 19
12
Lattice="10.672 0.000 0.000 0.000 4.896 0.000 0.000 0.000 4.347" Properties=species:S:1:pos:R:3 comment="CaFeOs (PBE, optimized geometry)" vol_a3_per_atom=18.93 m_tot_mub_per_atom=0.6301 ef_mev_per_atom=175 polymorph_energy_kj_per_mol_atoms=3.6 n_ef_per_ev_cell=14.58 pbc="T T T"
Ca 2.483 1.224 0.004
Ca 2.853 3.672 2.178
Ca 7.819 1.224 2.169
Ca 8.190 3.672 4.342
Fe 0.000 0.000 2.173
Fe 0.000 2.448 2.173
Fe 5.336 0.000 0.000
Fe 5.336 2.448 0.000
Os 0.424 3.672 0.000
Os 4.912 1.224 2.174
Os 5.760 3.672 2.173
Os 10.248 1.224 4.346

---

Record 20
4
Lattice="1.639 0.946 9.270 -1.639 0.946 9.270 0.000 -1.892 9.270" Properties=species:S:1:pos:R:3 comment="CdAg2Sb (PBE, optimized geometry)" vol_a3_per_atom=21.56 m_tot_mub_per_atom=0.0000 polymorph_energy_kj_per_mol_atoms=6.0 n_ef_per_ev_cell=3.04 pbc="T T T"
Cd 0.000 0.000 0.000
Ag 0.000 0.000 6.996
Ag 0.000 0.000 20.815
Sb 0.000 0.000 13.905

---

Record 21
16
Lattice="7.746 0.000 0.000 -3.873 6.708 0.000 0.000 0.000 4.778" Properties=species:S:1:pos:R:3 comment="Zn5Mo3 (PBE, optimized geometry)" vol_a3_per_atom=15.52 m_tot_mub_per_atom=0.0000 ef_mev_per_atom=313 polymorph_energy_kj_per_mol_atoms=22.7 n_ef_per_ev_cell=10.13 pbc="T T T"
Zn -0.832 1.442 1.195
Zn -3.041 5.266 3.584
Zn 1.665 0.000 1.195
Zn 0.832 1.442 3.584
Zn 0.000 4.472 0.000
Zn 0.000 4.472 2.389
Zn 3.873 2.236 0.000
Zn 3.873 2.236 2.389
Zn 6.081 0.000 3.584
Zn 3.041 5.266 1.195
Mo -1.600 2.771 3.584
Mo -2.273 3.937 1.195
Mo 3.199 0.000 3.584
Mo 1.600 2.771 1.195
Mo 4.547 0.000 1.195
Mo 2.273 3.937 3.584

---

Record 22
4
Lattice="0.000 3.659 3.659 3.659 0.000 3.659 3.659 3.659 0.000" Properties=species:S:1:pos:R:3 comment="LaEuNiAu (PBE, optimized geometry)" vol_a3_per_atom=24.48 m_tot_mub_per_atom=1.7801 ef_mev_per_atom=-442 n_ef_per_ev_cell=9.00 pbc="T T T"
La 0.000 0.000 0.000
Eu 3.659 3.659 3.659
Ni 1.829 1.829 1.829
Au 5.488 5.488 5.488